Record 1
Below is an optimized crystal structure of Np2Fe3Sn2, with properties calculated at the PBE level.

a = 4.501 Å, b = 4.803 Å, c = 6.481 Å
α = 98.92°, β = 110.32°, γ = 90.00°
Site moments in Bohr magnetons follow the coordinates.
Fractional positions:
Sn1 0.589 0.822 0.179  -0.01
Sn2 0.411 0.178 0.821  -0.01
Np1 0.850 0.628 0.699  3.15
Fe1 0.793 0.171 0.587  -1.05
Np2 0.150 0.372 0.301  3.15
Fe2 0.000 0.000 0.000  -0.85
Fe3 0.207 0.829 0.413  -1.05

Results
- E_form: -0.19 eV/f.u.
- Symmetry: C2/m, No. 12



Record 2
Below is an optimized crystal structure of EuZnGa, with properties calculated at the PBE level.

a = 3.514 Å, b = 3.514 Å, c = 6.083 Å
α = 106.79°, β = 106.79°, γ = 90.00°
Site moments in Bohr magnetons follow the coordinates.
Fractional positions:
Ga1 0.644 0.644 0.289  0.02
Zn1 0.257 0.257 0.515  0.01
Eu1 0.948 0.948 0.897  6.88

Results
- E_form: -0.74 eV/f.u.
- Symmetry: I4mm, No. 107



Record 3
Below is an optimized crystal structure of Mg2CdTc, with properties calculated at the PBE level.

a = 2.868 Å, b = 2.868 Å, c = 9.383 Å
α = 90.00°, β = 90.00°, γ = 106.36°
Fractional positions:
Mg1 0.000 0.000 0.475
Tc1 0.500 0.500 0.250
Cd1 0.500 0.500 0.750
Mg2 0.000 0.000 0.025

Results
- E_form: 0.61 eV/f.u.
- Symmetry: Cmmm, No. 65



Record 4
Below is an optimized crystal structure of La2NdCd2Pb2, with properties calculated at the PBE level.

a = 5.115 Å, b = 5.115 Å, c = 9.783 Å
α = 74.85°, β = 74.85°, γ = 60.00°
Fractional positions:
Cd1 0.578 0.578 0.265
Pb1 0.728 0.728 0.817
Nd1 0.000 0.000 0.000
La1 0.134 0.134 0.599
Pb2 0.272 0.272 0.183
Cd2 0.422 0.422 0.735
La2 0.866 0.866 0.401

Results
- E_form: -1.79 eV/f.u.
- Symmetry: R-3m, No. 166



Record 5
Below is an optimized crystal structure of CaMgCd, with properties calculated at the PBE level.

a = 5.089 Å, b = 5.089 Å, c = 5.089 Å
α = 60.00°, β = 60.00°, γ = 60.00°
Fractional positions:
Ca1 0.500 0.500 0.500
Cd1 0.750 0.750 0.750
Mg1 0.000 0.000 0.000

Results
- E_form: -0.20 eV/f.u.
- Symmetry: F-43m, No. 216



Record 6
Below is an optimized crystal structure of MnNb2I, with properties calculated at the PBE level.

a = 5.635 Å, b = 5.635 Å, c = 7.491 Å
α = 67.91°, β = 67.91°, γ = 90.00°
Fractional positions:
Nb1 0.215 0.625 0.250
Nb2 0.535 0.125 0.250
I1 0.750 0.250 0.500
Mn1 0.500 0.500 0.000
Nb3 0.375 0.465 0.750
Nb4 0.875 0.785 0.750
I2 0.000 0.000 0.000
Mn2 0.250 0.750 0.500

Results
- Energy relative to the lowest polymorph listed for this composition: 496 meV per atom
- Formation energy without anion corrections: 1.096 eV per atom
- Symmetry: I-42d, No. 122



Number 1: total moment 3.65 μB/f.u., electronic total energy -8.495 eV per atom, density 11.26 Mg/m³. Number 2: total moment 7.22 μB/f.u., electronic total energy -5.105 eV per atom, density 6.95 Mg/m³. Number 3: total moment 0.00 μB/f.u., electronic total energy -3.466 eV per atom, density 5.81 Mg/m³. Number 4: total moment 0.00 μB/f.u., electronic total energy -3.666 eV per atom, density 8.34 Mg/m³. Number 5: total moment 0.00 μB/f.u., electronic total energy -1.571 eV per atom, density 3.15 Mg/m³. Number 6: total moment 0.00 μB/f.u., electronic total energy -6.619 eV per atom, density 6.06 Mg/m³.